## KCrC4O8 (GGA+U)

Data for a geometry-optimized KCrC4O8 structure.

Calculated values
space-group type: P2/c (13)
DFT total energy: -7.3751 eV per atom
crystal system: monoclinic

Lattice parameters (Å, degrees): 3.399 8.998 13.024 88.82 90.00 90.00
Fractional positions:
O1 0.519 0.526 0.096
O2 0.652 0.691 0.717
O3 0.232 0.093 0.898
O4 0.768 0.907 0.102
O5 0.232 0.907 0.602
O6 0.519 0.474 0.404
O7 0.652 0.309 0.783
O8 0.965 0.279 0.500
O9 0.965 0.721 0.000
O10 0.348 0.309 0.283
O11 0.035 0.279 0.000
O12 0.481 0.526 0.596
O13 0.768 0.093 0.398
O14 0.035 0.721 0.500
O15 0.481 0.474 0.904
O16 0.348 0.691 0.217
Cr1 0.000 0.500 0.000
Cr2 0.000 0.500 0.500
C1 0.774 0.224 0.423
C2 0.470 0.660 0.640
C3 0.774 0.776 0.077
C4 0.530 0.660 0.140
C5 0.226 0.224 0.923
C6 0.470 0.340 0.860
C7 0.226 0.776 0.577
C8 0.530 0.340 0.360
K1 0.259 0.000 0.250
K2 0.741 0.000 0.750